(1)
Ba3PbI8: relaxed, GGA-PBE.

Results
- Volume: 59.37 Å³/atom
- Raw formation energy: -1471 meV/atom
- VASP energy: -0.2421 Ry/atom
- ρ: 3.809 g cm⁻³

a = 8.928 Å, b = 8.928 Å, c = 9.852 Å
α = 90.00°, β = 90.00°, γ = 114.86°
Atoms (fractional coordinates):
I  0.730  0.270  0.000
I  0.270  0.730  0.000
I  0.283  0.717  0.500
I  0.717  0.283  0.500
Ba  0.500  0.000  0.747
Ba  0.000  0.500  0.253
I  0.758  0.723  0.264
Ba  0.500  0.500  0.000
I  0.242  0.277  0.264
Pb  0.500  0.500  0.500
I  0.277  0.242  0.736
I  0.723  0.758  0.736

***

(2)
Ba3Pb5I12: relaxed, GGA-PBE.

Results
- Volume: 50.85 Å³/atom
- Raw formation energy: -771 meV/atom
- VASP energy: -0.2144 Ry/atom
- ρ: 4.851 g cm⁻³

a = 17.418 Å, b = 17.418 Å, c = 17.418 Å
α = 109.47°, β = 109.47°, γ = 109.47°
Atoms (fractional coordinates):
Ba  0.375  0.625  0.250
I  0.832  0.915  0.051
I  0.864  0.281  0.449
I  0.915  0.083  0.864
I  0.051  0.636  0.719
I  0.085  0.917  0.136
Pb  0.625  0.875  0.250
Pb  0.750  0.125  0.875
I  0.415  0.364  0.583
I  0.417  0.136  0.585
Pb  0.500  0.500  0.500
I  0.281  0.864  0.949
Ba  0.875  0.125  0.250
I  0.551  0.219  0.136
I  0.949  0.364  0.281
I  0.583  0.864  0.415
Ba  0.750  0.375  0.125
I  0.636  0.585  0.917
I  0.415  0.051  0.332
Ba  0.875  0.750  0.125
Pb  0.375  0.125  0.750
Ba  0.375  0.750  0.625
I  0.668  0.449  0.585
I  0.332  0.781  0.417
I  0.636  0.051  0.219
Pb  0.000  0.500  0.500
I  0.864  0.583  0.915
I  0.917  0.085  0.636
I  0.136  0.417  0.085
I  0.281  0.417  0.832
Ba  0.250  0.125  0.375
I  0.051  0.415  0.832
Pb  0.000  0.500  0.000
I  0.915  0.832  0.551
Pb  0.500  0.500  0.000
Pb  0.500  0.000  0.000
I  0.719  0.136  0.051
I  0.085  0.168  0.449
I  0.332  0.551  0.415
I  0.917  0.832  0.781
Ba  0.125  0.875  0.750
I  0.551  0.332  0.915
I  0.781  0.449  0.364
Ba  0.250  0.625  0.875
I  0.136  0.719  0.551
I  0.364  0.415  0.083
Ba  0.625  0.375  0.750
Pb  0.500  0.000  0.500
Pb  0.000  0.000  0.000
Pb  0.125  0.750  0.375
I  0.949  0.585  0.168
Ba  0.750  0.875  0.625
I  0.364  0.949  0.781
Pb  0.250  0.375  0.625
Pb  0.625  0.750  0.875
Pb  0.875  0.625  0.750
I  0.668  0.219  0.583
Pb  0.250  0.875  0.125
I  0.585  0.636  0.417
I  0.168  0.083  0.719
Ba  0.125  0.250  0.875
I  0.719  0.583  0.168
I  0.219  0.668  0.083
I  0.585  0.949  0.668
I  0.083  0.915  0.364
Pb  0.125  0.375  0.250
I  0.083  0.168  0.219
Pb  0.000  0.000  0.500
I  0.583  0.719  0.668
Pb  0.875  0.250  0.625
I  0.832  0.917  0.281
I  0.781  0.332  0.917
Pb  0.750  0.625  0.375
I  0.219  0.551  0.636
I  0.449  0.781  0.864
I  0.449  0.668  0.085
I  0.168  0.085  0.949
Pb  0.375  0.250  0.125
Ba  0.625  0.250  0.375
I  0.417  0.281  0.332

***

(3)
Ba4PbI5: relaxed, GGA-PBE.

Results
- Volume: 54.43 Å³/atom
- Raw formation energy: -1438 meV/atom
- VASP energy: -0.2465 Ry/atom
- ρ: 4.244 g cm⁻³

a = 4.888 Å, b = 10.552 Å, c = 11.356 Å
α = 107.46°, β = 102.43°, γ = 90.00°
Atoms (fractional coordinates):
I  0.833  0.131  0.665
I  0.169  0.346  0.339
I  0.167  0.869  0.335
I  0.831  0.654  0.661
Ba  0.668  0.114  0.335
Ba  0.997  0.748  0.993
I  0.500  0.500  0.000
Ba  0.332  0.886  0.665
Pb  0.500  0.000  0.000
Ba  0.003  0.252  0.007

***

(4)
BaPbI2: relaxed, GGA-PBE.

Results
- Energy relative to the lowest polymorph listed for this composition: 38 meV per atom
- Volume: 47.06 Å³/atom
- Raw formation energy: -747 meV/atom
- VASP energy: -0.2153 Ry/atom
- ρ: 5.278 g cm⁻³

a = 5.855 Å, b = 5.855 Å, c = 11.738 Å
α = 75.56°, β = 75.56°, γ = 90.00°
Atoms (fractional coordinates):
I  0.639  0.125  0.250
Pb  0.000  0.000  0.000
Pb  0.750  0.250  0.500
Ba  0.500  0.500  0.000
Ba  0.250  0.750  0.500
I  0.111  0.625  0.250
I  0.375  0.361  0.750
I  0.875  0.889  0.750